1.
Material: Pr5Al2Ge5
Method: DFT, PBE
State: relaxed

Results
Energy of formation (eV/atom): -0.70
DOS(E_F) (states/eV per cell): 13.311

Cell lengths 15.3469, 4.2532, 11.8942 Å; angles 90.00, 129.63, 90.00 degrees
Closest atoms and distances in Å follow each position.
Space group C2/m (No. 12)
Unique sites:
Pr 0.0000 0.0000 0.0000 (multiplicity 2)  4 Al 3.20, 6 Ge 3.25-3.26
Pr 0.1305 0.5000 0.8301 (multiplicity 4)  5 Ge 3.09-3.14, 1 Al 3.24
Pr 0.1805 0.5000 0.5752 (multiplicity 4)  7 Ge 3.14-3.39, 3 Al 3.19-3.22
Al 0.1179 0.5000 0.2598 (multiplicity 4)  3 Ge 2.50-2.54
Ge 0.0000 0.0000 0.5000 (multiplicity 2)  2 Ge 2.87, 4 Pr 3.14
Ge 0.0634 0.0000 0.3189 (multiplicity 4)  2 Al 2.54
Ge 0.2061 0.5000 0.1408 (multiplicity 4)  1 Al 2.50

---

2.
Material: YZr2Co2
Method: DFT, PBE
State: relaxed

Results
ΔE to the lowest computed polymorph (meV per atom): 65
Energy of formation (eV/atom): -0.15
DOS(E_F) (states/eV per cell): 12.644

Cell lengths 7.5035, 7.5035, 3.3415 Å; angles 90.00, 90.00, 90.00 degrees
Closest atoms and distances in Å follow each position.
Space group P4/mbm (No. 127)
Unique sites:
Y 0.0000 0.0000 0.0000 (multiplicity 2)  4 Co 2.96, 8 Zr 3.30
Zr 0.1545 0.3455 0.5000 (multiplicity 4)  6 Co 2.69-2.87
Co 0.1256 0.6256 0.0000 (multiplicity 4)  1 Co 2.67, 6 Zr 2.69-2.87, 2 Y 2.96

---

3.
Material: La4NpN4
Method: DFT, PBE
State: relaxed

Results
ΔE to the lowest computed polymorph (meV per atom): 0
Formation energy from raw total energies (eV/atom): -1.12
DOS(E_F) (states/eV per cell): 22.259

Cell lengths 12.2694, 3.6309, 9.1170 Å; angles 90.00, 120.23, 90.00 degrees
Closest atoms and distances in Å follow each position.
Space group C2/m (No. 12)
Unique sites:
La 0.1063 0.0000 0.3858 (multiplicity 4)  3 N 2.47-2.57
La 0.2056 0.5000 0.8121 (multiplicity 4)  5 N 2.50-2.78
Np 0.0000 0.5000 0.0000 (multiplicity 2)  6 N 2.41
N 0.0865 0.0000 0.9164 (multiplicity 4)  2 Np 2.41, 2 La 2.50-2.57
N 0.1843 0.5000 0.2789 (multiplicity 4)  1 Np 2.41, 4 La 2.47-2.63

---

4.
Material: YHf2PdN
Method: DFT, PBE
State: relaxed

Results
Formation energy from raw total energies (eV/atom): -0.87
DOS(E_F) (states/eV per cell): 4.833

Cell lengths 4.3864, 4.3864, 4.7540 Å; angles 90.00, 90.00, 90.00 degrees
Closest atoms and distances in Å follow each position.
Space group P4/mmm (No. 123)
Unique sites:
Y 0.0000 0.0000 0.0000 (multiplicity 1)  2 N 2.38
Hf 0.0000 0.5000 0.5000 (multiplicity 2)  2 N 2.19
Pd 0.5000 0.5000 0.0000 (multiplicity 1)  4 Y 3.10, 8 Hf 3.23
N 0.0000 0.0000 0.5000 (multiplicity 1)  4 Hf 2.19, 2 Y 2.38

---

5.
Material: MgMoRu2
Method: DFT, PBE
State: relaxed

Results
Energy of formation (eV/atom): 0.19
DOS(E_F) (states/eV per cell): 4.245

Cell lengths 2.7438, 2.7438, 8.2533 Å; angles 90.00, 90.00, 90.00 degrees
Closest atoms and distances in Å follow each position.
Space group P4mm (No. 99)
Unique sites:
Mg 0.0000 0.0000 0.0000 (multiplicity 1)  4 Mg 2.74, 4 Ru 2.85, 4 Mo 3.02
Mo 0.5000 0.5000 0.2811 (multiplicity 1)  4 Mo 2.74, 4 Ru 2.89, 4 Mg 3.02
Ru 0.0000 0.0000 0.5400 (multiplicity 1)  8 Ru 2.59-2.74, 4 Mo 2.89
Ru 0.5000 0.5000 0.7471 (multiplicity 1)  8 Ru 2.59-2.74, 4 Mg 2.85

---

6.
Material: Re2IrBr
Method: DFT, PBE
State: relaxed

Results
ΔE to the lowest computed polymorph (meV per atom): 693
Formation energy from raw total energies (eV/atom): 1.22
DOS(E_F) (states/eV per cell): 7.340

Cell lengths 4.1549, 4.1549, 7.3354 Å; angles 90.00, 90.00, 90.00 degrees
Closest atoms and distances in Å follow each position.
Space group I-4m2 (No. 119)
Unique sites:
Re 0.0000 0.0000 0.0000 (multiplicity 2)  4 Br 2.77, 4 Re 2.77, 4 Ir 2.94
Re 0.0000 0.5000 0.2500 (multiplicity 2)  4 Re 2.77, 4 Ir 2.77, 4 Br 2.94
Ir 0.0000 0.0000 0.5000 (multiplicity 2)  4 Br 2.77, 8 Re 2.77-2.94
Br 0.0000 0.5000 0.7500 (multiplicity 2)  4 Ir 2.77, 8 Re 2.77-2.94

---

7.
Material: LaPr3Dy7
Method: DFT, PBE
State: relaxed

Results
ΔE to the lowest computed polymorph (meV per atom): 32
Energy of formation (eV/atom): 0.21
DOS(E_F) (states/eV per cell): 32.369

Cell lengths 11.7324, 10.0921, 6.4606 Å; angles 90.00, 94.96, 90.00 degrees
Closest atoms and distances in Å follow each position.
Space group C2/m (No. 12)
Unique sites:
La 0.0000 0.0000 0.0000 (multiplicity 2)  4 Dy 3.23-3.47
Pr 0.0000 0.3230 0.5000 (multiplicity 4)  7 Dy 3.26-3.56, 1 Pr 3.57
Pr 0.0000 0.5000 0.0000 (multiplicity 2)  6 Dy 3.51-3.68, 4 Pr 3.69
Dy 0.0000 0.0000 0.5000 (multiplicity 2)  2 La 3.23, 2 Pr 3.26, 2 Dy 3.46
Dy 0.2378 0.5000 0.7061 (multiplicity 4)  5 Dy 3.34-3.50, 1 La 3.47, 3 Pr 3.48-3.51
Dy 0.2452 0.1712 0.7609 (multiplicity 8)  5 Dy 3.34-3.64, 3 Pr 3.55-3.68

---

8.
Material: GdNiGe
Method: DFT, PBE
State: relaxed

Results
Energy of formation (eV/atom): -0.74
DOS(E_F) (states/eV per cell): 2.698

Cell lengths 4.1936, 4.1936, 3.7574 Å; angles 90.00, 90.00, 120.00 degrees
Closest atoms and distances in Å follow each position.
Space group P-6m2 (No. 187)
Unique sites:
Gd 0.0000 0.0000 0.0000 (multiplicity 1)  6 Ni 3.06, 6 Ge 3.06
Ni 0.3333 0.6667 0.5000 (multiplicity 1)  3 Ge 2.42
Ge 0.6667 0.3333 0.5000 (multiplicity 1)  3 Ni 2.42

---

9.
Material: SrTc2Os
Method: DFT, PBE
State: relaxed

Results
ΔE to the lowest computed polymorph (meV per atom): 180
Energy of formation (eV/atom): 0.79
DOS(E_F) (states/eV per cell): 14.683

Cell lengths 2.8608, 2.8608, 29.4685 Å; angles 90.00, 90.00, 120.00 degrees
Closest atoms and distances in Å follow each position.
Space group R3m (No. 160, hexagonal axes)
Unique sites:
Sr 0.0000 0.0000 0.0000 (multiplicity 3)  6 Sr 2.86
Tc 0.0000 0.0000 0.5008 (multiplicity 3)  9 Tc 2.67-2.86, 3 Os 2.68
Tc 0.0000 0.0000 0.7629 (multiplicity 3)  9 Tc 2.67-2.86
Os 0.0000 0.0000 0.2392 (multiplicity 3)  3 Tc 2.68, 6 Os 2.86

---

10.
Material: CoAuSe2
Method: DFT, PBE
State: relaxed

Results
Formation energy from raw total energies (eV/atom): 0.08
DOS(E_F) (states/eV per cell): 3.346

Cell lengths 5.0977, 3.3451, 5.3211 Å; angles 90.00, 91.97, 90.00 degrees
Closest atoms and distances in Å follow each position.
Space group P2/m (No. 10)
Unique sites:
Co 0.0000 0.0000 0.0000 (multiplicity 1)  4 Se 2.33
Au 0.0000 0.0000 0.5000 (multiplicity 1)  2 Co 2.66, 4 Se 2.71
Se 0.2558 0.5000 0.1915 (multiplicity 2)  2 Co 2.33

---

11.
Material: KNa4Ag4
Method: DFT, PBE
State: relaxed

Results
Energy of formation (eV/atom): 0.06
DOS(E_F) (states/eV per cell): 6.289

Cell lengths 8.4039, 8.4039, 6.5886 Å; angles 90.00, 90.00, 90.00 degrees
Closest atoms and distances in Å follow each position.
Space group P4_2/n (No. 86, origin choice 2)
Unique sites:
K 0.2500 0.2500 0.2500 (multiplicity 2)  4 Ag 3.29, 4 Na 3.30
Na 0.1006 0.8357 0.5510 (multiplicity 8)  1 Na 2.89, 4 Ag 3.01-3.20
Ag 0.0680 0.1088 0.8465 (multiplicity 8)  3 Ag 2.96-3.02, 4 Na 3.01-3.20, 1 K 3.29

---

12.
Material: KScTc
Method: DFT, PBE
State: relaxed

Results
ΔE to the lowest computed polymorph (meV per atom): 0
Energy of formation (eV/atom): 0.64
DOS(E_F) (states/eV per cell): 6.006

Cell lengths 3.4141, 3.4141, 13.7743 Å; angles 90.00, 90.00, 90.00 degrees
Closest atoms and distances in Å follow each position.
Space group I4mm (No. 107)
Unique sites:
K 0.0000 0.0000 0.0000 (multiplicity 2)  4 K 3.41, 4 Tc 3.52, 1 Sc 3.64
Sc 0.0000 0.0000 0.7360 (multiplicity 2)  4 Tc 2.64
Tc 0.0000 0.0000 0.3139 (multiplicity 2)  4 Sc 2.64